# Na5SnHg2

Na5SnHg2 after structural relaxation (GGA-PBE, the Alexandria database).

Unit cell a=3.302 b=9.374 c=9.374 alpha=54.68 beta=79.86 gamma=79.86
Sites, in units of the cell vectors:
Hg (0.805, 0.695, 0.695)
Na (0.639, 0.661, 0.060)
Na (0.000, 0.500, 0.500)
Na (0.639, 0.060, 0.661)
Na (0.361, 0.940, 0.339)
Na (0.361, 0.339, 0.940)
Hg (0.195, 0.305, 0.305)
Sn (0.000, 0.000, 0.000)

Properties
ΔE to the lowest computed polymorph = 48.9 kJ/mol of formula units
Fermi-level density of states = 0.48 states/eV/atom
electronic total energy = -0.113 Ry/atom